[1]
VASP calculation (GGA-PBE) on an optimized crystal structure of K2RbRuF6.

Formation energy without anion corrections ... -225 kJ per mole of atoms
E above lowest polymorph ... 0.000 eV per atom

```
20
Lattice="-0.763 5.970 -0.214 -2.332 -0.048 6.985 8.609 1.204 2.883" Properties=species:S:1:pos:R:3 pbc="T T T"
K -0.573 3.191 6.309
K 5.673 0.839 3.185
K 4.526 3.904 8.016
K 2.163 0.349 2.010
Rb 2.728 0.570 6.161
Rb -1.138 2.970 2.158
Ru 3.495 3.578 2.615
Ru -1.905 -0.039 5.704
F 1.582 3.311 1.971
F 5.410 3.846 3.253
F 0.008 0.229 6.347
F 4.789 0.897 7.948
F 1.805 2.140 8.264
F 1.447 4.940 8.163
F 3.245 2.105 3.976
F 2.871 5.033 3.871
F -2.044 4.476 4.234
F -1.655 1.434 4.343
F -0.214 1.400 0.055
F -0.619 4.569 -0.059
```

=====

[2]
VASP calculation (GGA-PBE) on an optimized crystal structure of Pr10Bi3Sb3.

Formation energy without anion corrections ... -84 kJ per mole of atoms

```
16
Lattice="-5.650 -3.397 -0.559 0.367 0.945 -9.458 4.091 -7.493 4.193" Properties=species:S:1:pos:R:3 pbc="T T T"
Pr 0.216 -2.705 -5.045
Pr 1.457 -5.518 -0.495
Pr -1.408 -7.241 -0.778
Pr -2.649 -4.428 -5.328
Pr 0.246 -7.323 2.868
Pr -2.550 -0.990 -7.377
Pr -1.713 -3.333 -1.593
Pr 1.021 -1.869 1.046
Pr 0.091 0.236 -2.359
Pr 3.346 -4.915 -3.951
Bi -1.240 -4.601 1.345
Bi -2.683 -1.333 -3.943
Bi -0.094 -5.711 -3.504
Sb 2.515 -4.607 2.578
Sb 0.226 0.581 -5.815
Sb 1.717 -2.522 -2.028
```

=====

[3]
VASP calculation (GGA-PBE) on an optimized crystal structure of Tb3YTl2S.

Formation energy without anion corrections ... -64 kJ per mole of atoms

```
7
Lattice="-4.877 -0.101 1.413 -0.809 -3.985 -3.077 4.679 -2.949 6.813" Properties=species:S:1:pos:R:3 pbc="T T T"
Tb -0.405 -1.992 -1.539
Tb 0.633 -1.721 2.062
Tb -1.640 -5.313 3.086
Y -2.438 -0.050 0.707
Tl -2.356 -3.367 0.755
Tl 1.349 -3.667 4.394
S 0.000 0.000 0.000
```

=====

[4]
VASP calculation (GGA-PBE) on an optimized crystal structure of Pm6In2HO.

Raw total energy ... -5.100 eV per atom

```
20
Lattice="7.032 0.000 0.000 0.000 7.032 0.000 0.000 0.000 9.926" Properties=species:S:1:pos:R:3 pbc="T T T"
Pm 3.516 1.756 2.454
Pm 3.516 1.756 7.473
Pm 0.000 5.276 2.509
Pm 0.000 5.276 7.417
Pm 1.730 7.004 4.963
Pm 5.302 7.004 4.963
Pm 1.730 3.543 4.963
Pm 5.302 3.543 4.963
Pm 5.246 3.489 0.000
Pm 1.786 3.489 0.000
Pm 1.786 0.029 0.000
Pm 5.246 0.029 0.000
In 3.516 5.273 2.482
In 0.000 1.759 7.445
In 3.516 5.273 7.445
In 0.000 1.759 2.482
H 3.516 1.755 4.963
H 0.000 5.277 0.000
O 0.000 5.272 4.963
O 3.516 1.760 0.000
```

=====

[5]
VASP calculation (GGA-PBE) on an optimized crystal structure of Pm3CoN.

Formation energy without anion corrections ... -48 kJ per mole of atoms

```
20
Lattice="6.225 0.000 0.000 0.000 8.928 0.124 0.000 -3.441 7.708" Properties=species:S:1:pos:R:3 pbc="T T T"
Pm 0.453 2.598 7.128
Pm 5.772 2.890 0.704
Pm 3.566 7.354 0.765
Pm 2.659 -1.866 7.066
Pm 3.695 1.247 6.167
Pm 2.531 4.240 1.664
Pm 0.582 -0.224 1.602
Pm 5.643 5.711 6.229
Pm 0.678 -0.074 4.866
Pm 5.547 5.561 2.965
Pm 3.791 1.097 2.904
Pm 2.434 4.390 4.928
Co 5.381 3.197 4.530
Co 0.844 2.290 3.301
Co 2.269 6.754 3.363
Co 3.956 -1.267 4.468
N 1.518 0.404 7.154
N 4.707 5.084 0.677
N 4.631 0.620 0.615
N 1.594 4.868 7.216
```

=====

[6]
VASP calculation (GGA-PBE) on an optimized crystal structure of CsRb3Ru.

E above lowest polymorph ... 0.000 eV per atom
E_form ... 0.8289 eV per atom

```
5
Lattice="-5.477 -2.907 -3.034 -1.587 -3.184 5.916 -3.890 5.392 1.858" Properties=species:S:1:pos:R:3 pbc="T T T"
Cs -5.477 -0.350 2.370
Rb -0.794 -1.592 2.958
Rb -1.945 2.696 0.929
Rb -2.739 -1.453 -1.517
Ru 0.000 0.000 0.000
```

=====

[7]
VASP calculation (GGA-PBE) on an optimized crystal structure of KAl2GaI8.

Formation energy without anion corrections ... -73 kJ per mole of atoms

```
12
Lattice="-3.819 2.498 6.038 6.960 -2.852 0.839 4.353 10.194 -1.465" Properties=species:S:1:pos:R:3 pbc="T T T"
K 0.000 0.000 0.000
Al 0.802 3.121 3.959
Al 6.693 6.720 1.452
Ga 2.177 5.097 -0.733
I 7.687 9.049 1.118
I 2.330 3.048 1.889
I -1.138 4.776 3.606
I -0.193 0.792 4.294
I 8.633 5.066 1.806
I 5.165 6.793 3.522
I 5.347 6.115 -0.657
I 2.147 3.727 6.068
```

=====

[8]
VASP calculation (GGA-PBE) on an optimized crystal structure of TbNd6Dy12.

E above lowest polymorph ... 0.000 eV per atom
E_form ... 0.1224 eV per atom

```
19
Lattice="8.455 1.306 1.564 0.009 8.555 1.564 0.009 0.010 8.697" Properties=species:S:1:pos:R:3 pbc="T T T"
Tb 0.000 0.000 0.000
Nd 6.505 7.579 3.825
Nd 7.077 3.076 3.685
Nd 1.967 7.462 3.685
Nd 1.968 2.292 8.000
Nd 1.395 6.795 8.141
Nd 6.505 2.409 8.141
Dy 6.805 5.207 6.238
Dy 4.115 7.515 6.238
Dy 4.115 4.794 8.509
Dy 1.668 4.664 5.588
Dy 4.357 2.356 5.587
Dy 4.357 5.077 3.316
Dy 1.164 1.356 4.651
Dy 7.309 5.537 9.660
Dy 4.365 8.064 9.661
Dy 7.309 8.516 7.174
Dy 1.164 4.334 2.165
Dy 4.108 1.807 2.165
```